Model one:
Material: Pr4YIn3
Method: DFT, GGA-PBE
State: optimized geometry

Symmetry: Pmma
Total magnetization, μB per atom: 0.000

```
data_Pr4YIn3
_symmetry_space_group_name_H-M 'P 1'
_symmetry_Int_Tables_number 1
_symmetry_space_group_name_Hall 'P 1'
_cell_length_a 6.0297
_cell_length_b 7.0473
_cell_length_c 11.3913
_cell_angle_alpha 90.00
_cell_angle_beta 90.00
_cell_angle_gamma 90.00
loop_
_atom_site_label
_atom_site_type_symbol
_atom_site_fract_x
_atom_site_fract_y
_atom_site_fract_z
Pr1 Pr 0.5000 0.7540 0.0000
Pr2 Pr 0.5000 0.7540 0.5000
Pr3 Pr 0.5000 0.2460 0.0000
Pr4 Pr 0.5000 0.2460 0.5000
Pr5 Pr 0.1308 0.7603 0.7500
Pr6 Pr 0.8692 0.7603 0.2500
Pr7 Pr 0.8692 0.2397 0.2500
Pr8 Pr 0.1308 0.2397 0.7500
Y1 Y 0.0000 0.5000 0.0000
Y2 Y 0.0000 0.5000 0.5000
In1 In 0.0000 0.0000 0.0000
In2 In 0.0000 0.0000 0.5000
In3 In 0.6413 0.0000 0.7500
In4 In 0.3587 0.0000 0.2500
In5 In 0.6499 0.5000 0.7500
In6 In 0.3501 0.5000 0.2500
```


Model two:
Material: Pr4YIn3
Method: DFT, GGA-PBE
State: optimized geometry

Symmetry: Immm
Total magnetization, μB per atom: 0.000

```
data_Pr4YIn3
_symmetry_space_group_name_H-M 'P 1'
_symmetry_Int_Tables_number 1
_symmetry_space_group_name_Hall 'P 1'
_cell_length_a 4.9918
_cell_length_b 4.9941
_cell_length_c 12.4998
_cell_angle_alpha 126.82
_cell_angle_beta 101.52
_cell_angle_gamma 90.00
loop_
_atom_site_label
_atom_site_type_symbol
_atom_site_fract_x
_atom_site_fract_y
_atom_site_fract_z
Pr1 Pr 0.6323 0.8970 0.2647
Pr2 Pr 0.3677 0.1030 0.7353
Pr3 Pr 0.8688 0.6067 0.7376
Pr4 Pr 0.1312 0.3933 0.2624
Y1 Y 0.5000 0.0000 0.0000
In1 In 0.0000 0.5000 0.0000
In2 In 0.2489 0.2466 0.4978
In3 In 0.7511 0.7534 0.5022
```


model two is preferred energetically. Next in line: 0.030 eV/atom higher.